(1)
# KCuPSe3, optimized geometry, DFT PBE-GGA
data_KCuPSe3
_chemical_formula_sum 'K12 Cu12 P12 Se36'
_cell_length_a 8.830
_cell_length_b 10.796
_cell_length_c 20.134
_cell_angle_alpha 90.00
_cell_angle_beta 92.93
_cell_angle_gamma 90.00
_symmetry_space_group_name_H-M 'P 1 21/c 1'
_symmetry_Int_Tables_number 14
loop_
_symmetry_equiv_pos_as_xyz
'x,y,z'
'-x,-y,-z'
'-x,y+1/2,-z+1/2'
'x,-y+1/2,z+1/2'
loop_
_atom_site_label
_atom_site_type_symbol
_atom_site_fract_x
_atom_site_fract_y
_atom_site_fract_z
K1 K 0.023 0.203 0.008
K2 K 0.305 0.674 0.293
K3 K 0.353 0.008 0.602
Cu1 Cu 0.030 0.142 0.774
Cu2 Cu 0.323 0.507 0.637
Cu3 Cu 0.365 0.207 0.892
P1 P 0.105 0.056 0.357
P2 P 0.233 0.093 0.263
P3 P 0.431 0.581 0.478
Se1 Se 0.028 0.639 0.849
Se2 Se 0.063 0.050 0.178
Se3 Se 0.079 0.697 0.151
Se4 Se 0.237 0.009 0.923
Se5 Se 0.271 0.099 0.440
Se6 Se 0.297 0.207 0.773
Se7 Se 0.367 0.686 0.569
Se8 Se 0.417 0.182 0.087
Se9 Se 0.426 0.537 0.758
# **DFT total energy**: -3.943 eV per atom

(2)
# KCu2PSe4, optimized geometry, DFT PBE-GGA
data_KCu2PSe4
_chemical_formula_sum 'K4 Cu8 P4 Se16'
_cell_length_a 7.485
_cell_length_b 19.359
_cell_length_c 6.004
_cell_angle_alpha 90.00
_cell_angle_beta 90.00
_cell_angle_gamma 90.00
_symmetry_space_group_name_H-M 'A m a 2'
_symmetry_Int_Tables_number 40
loop_
_symmetry_equiv_pos_as_xyz
'x,y,z'
'-x,-y,z'
'-x+1/2,y,z'
'x+1/2,-y,z'
'x,y+1/2,z+1/2'
'-x,-y+1/2,z+1/2'
'-x+1/2,y+1/2,z+1/2'
'x+1/2,-y+1/2,z+1/2'
loop_
_atom_site_label
_atom_site_type_symbol
_atom_site_fract_x
_atom_site_fract_y
_atom_site_fract_z
K1 K 0.250 0.190 0.000
Cu1 Cu 0.000 0.000 0.261
Cu2 Cu 0.250 0.380 0.215
P1 P 0.250 0.380 0.712
Se1 Se 0.007 0.386 0.934
Se2 Se 0.250 0.286 0.503
Se3 Se 0.250 0.475 0.495
# **DFT total energy**: -3.777 eV per atom

(3)
# KPaCuS3, optimized geometry, DFT PBE-GGA
data_KPaCuS3
_chemical_formula_sum 'K4 Pa4 Cu4 S12'
_cell_length_a 3.966
_cell_length_b 14.026
_cell_length_c 10.355
_cell_angle_alpha 90.00
_cell_angle_beta 90.00
_cell_angle_gamma 90.00
_symmetry_space_group_name_H-M 'C m c m'
_symmetry_Int_Tables_number 63
_symmetry_space_group_name_Hall '-C 2c 2'
loop_
_atom_site_label
_atom_site_type_symbol
_atom_site_fract_x
_atom_site_fract_y
_atom_site_fract_z
K1 K 0.000 0.244 0.250
Pa1 Pa 0.000 0.500 0.000
Cu1 Cu 0.000 0.032 0.750
S1 S 0.000 0.125 0.565
S2 S 0.000 0.437 0.750
# **DFT total energy**: -5.756 eV per atom
# **M_tot**: 4.002 μB/cell

(4)
# KCuPbS3, optimized geometry, DFT PBE-GGA
data_KCuPbS3
_chemical_formula_sum 'K4 Cu4 Pb4 S12'
_cell_length_a 3.960
_cell_length_b 13.505
_cell_length_c 10.972
_cell_angle_alpha 90.00
_cell_angle_beta 90.00
_cell_angle_gamma 90.00
_symmetry_space_group_name_H-M 'C m c m'
_symmetry_Int_Tables_number 63
_symmetry_space_group_name_Hall '-C 2c 2'
loop_
_atom_site_label
_atom_site_type_symbol
_atom_site_fract_x
_atom_site_fract_y
_atom_site_fract_z
K1 K 0.000 0.230 0.250
Cu1 Cu 0.000 0.059 0.750
Pb1 Pb 0.000 0.500 0.000
S1 S 0.000 0.135 0.564
S2 S 0.000 0.462 0.750
# **DFT total energy**: -3.932 eV per atom

(5)
# KCuPbSeS2, optimized geometry, DFT PBE-GGA
data_KCuPbSeS2
_chemical_formula_sum 'K4 Cu4 Pb4 Se4 S8'
_cell_length_a 3.932
_cell_length_b 14.605
_cell_length_c 11.186
_cell_angle_alpha 90.00
_cell_angle_beta 90.00
_cell_angle_gamma 90.00
_symmetry_space_group_name_H-M 'C m c m'
_symmetry_Int_Tables_number 63
_symmetry_space_group_name_Hall '-C 2c 2'
loop_
_atom_site_label
_atom_site_type_symbol
_atom_site_fract_x
_atom_site_fract_y
_atom_site_fract_z
K1 K 0.000 0.249 0.250
Cu1 Cu 0.000 0.046 0.750
Pb1 Pb 0.000 0.500 0.000
Se1 Se 0.000 0.440 0.750
S1 S 0.000 0.123 0.574
# **DFT total energy**: -3.820 eV per atom

(6)
# KCuTePbS2, optimized geometry, DFT PBE-GGA
data_KCuTePbS2
_chemical_formula_sum 'K4 Cu4 Te4 Pb4 S8'
_cell_length_a 3.910
_cell_length_b 15.586
_cell_length_c 11.528
_cell_angle_alpha 90.00
_cell_angle_beta 90.00
_cell_angle_gamma 90.00
_symmetry_space_group_name_H-M 'C m c m'
_symmetry_Int_Tables_number 63
_symmetry_space_group_name_Hall '-C 2c 2'
loop_
_atom_site_label
_atom_site_type_symbol
_atom_site_fract_x
_atom_site_fract_y
_atom_site_fract_z
K1 K 0.000 0.226 0.250
Cu1 Cu 0.000 0.459 0.750
Te1 Te 0.000 0.077 0.750
Pb1 Pb 0.000 0.000 0.000
S1 S 0.000 0.386 0.581
# **DFT total energy**: -3.720 eV per atom

(7)
# KCu3Te4Pb, optimized geometry, DFT PBE-GGA
data_KCu3Te4Pb
_chemical_formula_sum 'K1 Cu3 Te4 Pb1'
_cell_length_a 6.751
_cell_length_b 6.751
_cell_length_c 6.751
_cell_angle_alpha 90.00
_cell_angle_beta 90.00
_cell_angle_gamma 90.00
_symmetry_space_group_name_H-M 'P -4 3 m'
_symmetry_Int_Tables_number 215
_symmetry_space_group_name_Hall 'P -4 2 3'
loop_
_atom_site_label
_atom_site_type_symbol
_atom_site_fract_x
_atom_site_fract_y
_atom_site_fract_z
K1 K 0.000 0.000 0.000
Cu1 Cu 0.000 0.500 0.500
Te1 Te 0.264 0.264 0.264
Pb1 Pb 0.500 0.500 0.500
# **DFT total energy**: -3.076 eV per atom

(8)
# KCuTe3Pb, optimized geometry, DFT PBE-GGA
data_KCuTe3Pb
_chemical_formula_sum 'K4 Cu4 Te12 Pb4'
_cell_length_a 4.291
_cell_length_b 14.181
_cell_length_c 12.294
_cell_angle_alpha 90.00
_cell_angle_beta 90.00
_cell_angle_gamma 90.00
_symmetry_space_group_name_H-M 'C m c m'
_symmetry_Int_Tables_number 63
_symmetry_space_group_name_Hall '-C 2c 2'
loop_
_atom_site_label
_atom_site_type_symbol
_atom_site_fract_x
_atom_site_fract_y
_atom_site_fract_z
K1 K 0.000 0.224 0.250
Cu1 Cu 0.000 0.079 0.750
Te1 Te 0.000 0.162 0.553
Te2 Te 0.000 0.476 0.750
Pb1 Pb 0.000 0.500 0.000
# **DFT total energy**: -3.335 eV per atom